1.
First-principles (PBE) data for an optimized crystal structure of SrZnTc2, as listed in the Alexandria database.

POSCAR file:
```
SrZnTc2
1.0
5.5542 -0.0142 0.0000
2.7316 4.8361 0.0000
-4.1429 -2.4110 2.8059
Sr Tc Zn
1 2 1
Cartesian
2.7771 -0.0071 1.4030
0.0000 0.0000 0.0000
4.1429 2.4110 0.0000
1.3658 2.4181 1.4030
```

Values from the calculation:
Spin magnetization in μB/f.u.: 0.00
ΔH_f (0 K) in eV per atom: 0.878
SG: I4/mmm (139)

***

2.
First-principles (PBE) data for an optimized crystal structure of SrZnTc2, as listed in the Alexandria database.

POSCAR file:
```
SrZnTc2
1.0
3.4337 0.0000 0.0000
0.0000 3.4272 0.0000
0.0000 0.0000 6.9078
Sr Tc Zn
1 2 1
Cartesian
1.7169 1.7136 5.1809
0.0000 0.0000 0.6082
0.0000 0.0000 2.8457
1.7169 1.7136 1.7270
```

Values from the calculation:
Spin magnetization in μB/f.u.: 0.00
ΔH_f (0 K) in eV per atom: 0.510
SG: P4/mmm (123)

***

3.
First-principles (PBE) data for an optimized crystal structure of SrZnTc2, as listed in the Alexandria database.

POSCAR file:
```
SrZnTc2
1.0
-3.4949 2.7707 3.4118
-1.6165 -1.0437 -5.2753
-1.0557 -2.2873 0.7761
Sr Tc Zn
1 2 1
Cartesian
-1.3361 -1.6655 -2.2496
0.0000 0.0000 0.0000
-2.5557 0.8635 -0.9318
-2.2753 0.2417 2.0939
```

Values from the calculation:
Spin magnetization in μB/f.u.: 0.00
ΔH_f (0 K) in eV per atom: 0.868
SG: Cmmm (65)

***

4.
First-principles (PBE) data for an optimized crystal structure of Sr2ZnTc, as listed in the Alexandria database.

POSCAR file:
```
Sr2ZnTc
1.0
-5.7912 -2.6212 -0.0524
-3.4987 -4.8131 -2.2370
-0.5597 -3.8997 3.3253
Sr Tc Zn
2 1 1
Cartesian
-9.1086 -7.3608 -2.1728
-7.5374 -8.5614 0.6805
-5.3868 -5.8538 0.2207
-2.0317 -2.6592 0.5362
```

Values from the calculation:
Spin magnetization in μB/f.u.: 0.76
ΔH_f (0 K) in eV per atom: 0.409
SG: Imm2 (44)

***

5.
First-principles (PBE) data for an optimized crystal structure of SrZnTc2, as listed in the Alexandria database.

POSCAR file:
```
SrZnTc2
1.0
-0.0803 3.1912 3.4298
1.4995 -3.2309 3.0442
2.4281 0.8327 -3.9199
Sr Tc Zn
1 2 1
Cartesian
1.5287 2.0021 1.3735
0.0000 0.0000 0.0000
2.3186 -1.2090 1.1807
0.7096 -0.0198 3.2370
```

Values from the calculation:
Spin magnetization in μB/f.u.: 0.00
ΔH_f (0 K) in eV per atom: 0.651
SG: F-43m (216)

***

6.
First-principles (PBE) data for an optimized crystal structure of Sr2ZnTc, as listed in the Alexandria database.

POSCAR file:
```
Sr2ZnTc
1.0
4.2657 -0.0762 0.0386
2.9562 3.0763 0.0386
1.1785 0.4896 8.9938
Sr Tc Zn
2 1 1
Cartesian
1.1766 0.4888 8.7979
4.2021 1.7456 4.7314
6.3003 2.6172 6.8033
2.1001 0.8724 2.2678
```

Values from the calculation:
Spin magnetization in μB/f.u.: 1.86
ΔH_f (0 K) in eV per atom: 0.754
SG: C2/m (12)

***

7.
First-principles (PBE) data for an optimized crystal structure of Sr3ZnTc, as listed in the Alexandria database.

POSCAR file:
```
Sr3ZnTc
1.0
5.7268 0.0000 0.0000
0.0000 5.7268 0.0000
0.0000 0.0000 5.7268
Sr Zn Tc
3 1 1
Cartesian
0.0000 2.8634 0.0000
0.0000 0.0000 2.8634
2.8634 0.0000 0.0000
2.8634 2.8634 2.8634
0.0000 0.0000 0.0000
```

Values from the calculation:
Spin magnetization in μB/f.u.: 0.90
ΔH_f (0 K) in eV per atom: 0.585
SG: Pm-3m (221)
Offset from the most stable computed form in eV/atom: 0.000

***

8.
First-principles (PBE) data for an optimized crystal structure of Sr2ZnTc, as listed in the Alexandria database.

POSCAR file:
```
Sr2ZnTc
1.0
5.5417 0.0000 0.0000
0.0000 5.5417 0.0000
0.0000 0.0000 3.5717
Sr Tc Zn
2 1 1
Cartesian
0.0000 0.0000 0.0000
2.7708 2.7708 0.0000
2.7708 0.0000 1.7859
0.0000 2.7708 1.7859
```

Values from the calculation:
Spin magnetization in μB/f.u.: 2.06
ΔH_f (0 K) in eV per atom: 0.567
SG: P4/mmm (123)

***

9.
First-principles (PBE) data for an optimized crystal structure of SrZnTc2, as listed in the Alexandria database.

POSCAR file:
```
SrZnTc2
1.0
4.2681 0.0000 0.0000
0.0000 4.2681 0.0000
2.1340 2.1340 9.5941
Sr Zn Tc
2 2 4
Cartesian
0.0000 0.0000 0.0000
4.2681 2.1340 4.7970
2.1340 2.1340 0.0000
2.1340 4.2681 4.7970
1.5720 1.0670 2.3985
2.6961 3.2011 2.3985
3.2011 4.8301 7.1955
5.3351 3.7060 7.1955
```

Values from the calculation:
Spin magnetization in μB/f.u.: 0.00
ΔH_f (0 K) in eV per atom: 0.708
SG: I-42d (122)

***

10.
First-principles (PBE) data for an optimized crystal structure of SrZnTc2, as listed in the Alexandria database.

POSCAR file:
```
SrZnTc2
1.0
-2.1670 1.3222 -1.9007
-0.7252 -2.8599 -1.1628
-5.3344 -0.8731 5.4744
Sr Tc Zn
1 2 1
Cartesian
-5.4844 -1.4298 2.6125
-0.3671 -0.0601 0.3768
-2.7025 -0.9745 -0.2423
-2.3397 -0.3830 2.4011
```

Values from the calculation:
Spin magnetization in μB/f.u.: 0.00
ΔH_f (0 K) in eV per atom: 0.223
SG: P4mm (99)

***

11.
First-principles (PBE) data for an optimized crystal structure of SrZnTc3, as listed in the Alexandria database.

POSCAR file:
```
SrZnTc3
1.0
-3.9451 -2.7059 0.4593
2.7047 -3.6964 1.4553
-0.4661 1.4531 4.5572
Sr Zn Tc
1 1 3
Cartesian
0.0000 0.0000 0.0000
-0.8533 -2.4746 3.2359
1.3523 -1.8482 0.7277
-0.2331 0.7266 2.2786
-1.9726 -1.3529 0.2296
```

Values from the calculation:
Spin magnetization in μB/f.u.: 3.49
ΔH_f (0 K) in eV per atom: 2.891
SG: Pm-3m (221)
Offset from the most stable computed form in eV/atom: 1.441

***

12.
First-principles (PBE) data for an optimized crystal structure of Sr2ZnTc, as listed in the Alexandria database.

POSCAR file:
```
Sr2ZnTc
1.0
-2.0151 -4.4086 3.0308
4.2940 -2.4274 2.8899
-1.7167 5.4379 -0.4061
Sr Tc Zn
2 1 1
Cartesian
0.0000 0.0000 0.0000
1.8584 -0.2038 2.7221
1.1395 -3.4180 2.9604
-1.2962 -1.1944 2.7925
```

Values from the calculation:
Spin magnetization in μB/f.u.: 1.16
ΔH_f (0 K) in eV per atom: 0.651
SG: I-4m2 (119)